VASP calculation (PBE) on a relaxed NdSi2Ru2 crystal.

## Properties
total energy	-7.722	eV per atom
ρ	7.672	Mg/m³
symmetry	I4/mmm, No. 139
formation energy from raw total energies	-4.4	eV per formula unit

abc: 5.733 5.733 5.733
angles: 136.83 136.83 62.70
Element x y z (fractional)
1 Nd 0.000 0.000 0.000
2 Si 0.635 0.635 0.000
3 Si 0.365 0.365 0.000
4 Ru 0.250 0.750 0.500
5 Ru 0.750 0.250 0.500